1.
# BaTePt2

A relaxed BaTePt2 crystal (PBE, Alexandria).

- ΔE_f (raw) (eV/atom) = -0.733
- uncorrected energy (eV/atom) = -5.02

abc: 4.744 4.833 5.043
angles: 83.90 90.00 90.00
Fractional coordinates of all 4 atoms:
Ba 0.500 0.755 0.805
Pt 0.000 0.189 0.970
Pt 0.500 0.225 0.261
Te 0.000 0.331 0.464

---

2.
# VNiAg2H

A relaxed VNiAg2H crystal (PBE, Alexandria).

- uncorrected energy (eV/atom) = -3.87

abc: 5.055 3.110 5.055
angles: 90.00 90.00 90.00
Fractional coordinates of all 5 atoms:
Ni 0.500 0.500 0.500
H 0.000 0.500 0.000
Ag 0.000 0.000 0.500
Ag 0.500 0.000 0.000
V 0.000 0.000 0.000

---

| no. | magnetic moment (μB/cell) |
| --- | --- |
| 1 | 0.000 |
| 2 | 3.059 |